DFT (PBE-GGA) results for a relaxed Tb2PmPr crystal.

Calculated values
ρ = 7.37 g/cm3
energy above the most stable polymorph in this dataset = 14.0 meV/atom
N(E_F) = 1.732 states/eV per atom
size of the total moment = 0.00 μB per formula unit
crystal system = monoclinic
symmetry = No. 15

Cell lengths 9.381, 9.360, 9.360 Å; angles 85.29, 133.93, 133.93 degrees
Atoms (fractional coordinates):
Tb  0.249  0.583  0.916
Tb  0.749  0.916  0.583
Tb  0.251  0.084  0.417
Tb  0.751  0.417  0.084
Pr  0.250  0.416  0.584
Pr  0.750  0.584  0.416
Pm  0.750  0.085  0.915
Pm  0.250  0.915  0.085